a.
Computed, not measured: a relaxed CdCoS2N crystal at the GGA-PBE level of DFT.

Cell lengths 4.8144, 4.8144, 3.3914 Å; angles 90.00, 90.00, 90.00 degrees
Space group P4/mmm (No. 123)
Inequivalent atoms, fractional coordinates:
Cd1 0.0000 0.0000 0.0000 (multiplicity 1)
Co1 0.5000 0.5000 0.5000 (multiplicity 1)
S1 0.0000 0.5000 0.5000 (multiplicity 2)
N1 0.5000 0.5000 0.0000 (multiplicity 1)

=====

b.
Computed, not measured: a relaxed CdCoS2N crystal at the GGA-PBE level of DFT.

Cell lengths 5.0254, 5.0254, 4.0405 Å; angles 90.00, 90.00, 90.00 degrees
Space group P4/mmm (No. 123)
Inequivalent atoms, fractional coordinates:
Cd1 0.0000 0.0000 0.0000 (multiplicity 1)
Co1 0.5000 0.5000 0.5000 (multiplicity 1)
S1 0.0000 0.5000 0.0000 (multiplicity 2)
N1 0.0000 0.0000 0.5000 (multiplicity 1)

=====

Most stable pick: a. Distance to second place: 1395 meV per atom.

=====

a.
Computed, not measured: a relaxed CdCoSeN2 crystal at the GGA-PBE level of DFT.

Cell lengths 3.7116, 3.7116, 5.3453 Å; angles 90.00, 90.00, 90.00 degrees
Space group P4/mmm (No. 123)
Inequivalent atoms, fractional coordinates:
Cd1 0.0000 0.0000 0.0000 (multiplicity 1)
Co1 0.5000 0.5000 0.5000 (multiplicity 1)
Se1 0.5000 0.5000 0.0000 (multiplicity 1)
N1 0.0000 0.5000 0.5000 (multiplicity 2)

=====

b.
Computed, not measured: a relaxed CdCoSeN2 crystal at the GGA-PBE level of DFT.

Cell lengths 4.1293, 4.1293, 5.8644 Å; angles 90.00, 90.00, 90.00 degrees
Space group P4/mmm (No. 123)
Inequivalent atoms, fractional coordinates:
Cd1 0.0000 0.0000 0.0000 (multiplicity 1)
Co1 0.5000 0.5000 0.5000 (multiplicity 1)
Se1 0.0000 0.0000 0.5000 (multiplicity 1)
N1 0.0000 0.5000 0.0000 (multiplicity 2)

=====

Most stable pick: a. Distance to second place: 1135 meV per atom.

=====

a.
Computed, not measured: a relaxed CdCoTeN2 crystal at the GGA-PBE level of DFT.

Cell lengths 3.8970, 3.8970, 5.4441 Å; angles 90.00, 90.00, 90.00 degrees
Space group P4/mmm (No. 123)
Inequivalent atoms, fractional coordinates:
Cd1 0.0000 0.0000 0.0000 (multiplicity 1)
Co1 0.5000 0.5000 0.5000 (multiplicity 1)
Te1 0.5000 0.5000 0.0000 (multiplicity 1)
N1 0.0000 0.5000 0.5000 (multiplicity 2)

=====

b.
Computed, not measured: a relaxed CdCoTeN2 crystal at the GGA-PBE level of DFT.

Cell lengths 4.1474, 4.1474, 6.4472 Å; angles 90.00, 90.00, 90.00 degrees
Space group P4/mmm (No. 123)
Inequivalent atoms, fractional coordinates:
Cd1 0.0000 0.0000 0.0000 (multiplicity 1)
Co1 0.5000 0.5000 0.5000 (multiplicity 1)
Te1 0.0000 0.0000 0.5000 (multiplicity 1)
N1 0.0000 0.5000 0.0000 (multiplicity 2)

=====

Most stable pick: a. Distance to second place: 932 meV per atom.

=====

a.
Computed, not measured: a relaxed Nb3CdCo crystal at the GGA-PBE level of DFT.

Cell lengths 4.9469, 4.9469, 4.9469 Å; angles 90.00, 90.00, 90.00 degrees
Space group Pm-3m (No. 221)
Inequivalent atoms, fractional coordinates:
Nb1 0.0000 0.0000 0.5000 (multiplicity 3)
Cd1 0.0000 0.0000 0.0000 (multiplicity 1)
Co1 0.5000 0.5000 0.5000 (multiplicity 1)

=====

b.
Computed, not measured: a relaxed Nb3CdCo crystal at the GGA-PBE level of DFT.

Cell lengths 4.6313, 4.6313, 4.6313 Å; angles 90.00, 90.00, 90.00 degrees
Space group Pm-3m (No. 221)
Inequivalent atoms, fractional coordinates:
Nb1 0.0000 0.0000 0.5000 (multiplicity 3)
Cd1 0.5000 0.5000 0.5000 (multiplicity 1)
Co1 0.0000 0.0000 0.0000 (multiplicity 1)

=====

Most stable pick: b. Distance to second place: 1837 meV per atom.

=====

a.
Computed, not measured: a relaxed Nb2CdCo2 crystal at the GGA-PBE level of DFT.

Cell lengths 7.1369, 7.1369, 3.0237 Å; angles 90.00, 90.00, 90.00 degrees
Space group P4/mbm (No. 127)
Inequivalent atoms, fractional coordinates:
Nb1 0.1670 0.3330 0.0000 (multiplicity 4)
Cd1 0.0000 0.0000 0.5000 (multiplicity 2)
Co1 0.1264 0.6264 0.5000 (multiplicity 4)

=====

b.
Computed, not measured: a relaxed Nb2CdCo2 crystal at the GGA-PBE level of DFT.

Cell lengths 7.6328, 7.6328, 2.7521 Å; angles 90.00, 90.00, 90.00 degrees
Space group P4/mbm (No. 127)
Inequivalent atoms, fractional coordinates:
Nb1 0.1461 0.3539 0.0000 (multiplicity 4)
Cd1 0.0000 0.0000 0.0000 (multiplicity 2)
Co1 0.1429 0.6429 0.5000 (multiplicity 4)

=====

Most stable pick: a. Distance to second place: 244 meV per atom.